No. 1
Computed, not measured: a relaxed structure of YSi3Ru at the GGA-PBE level of DFT.

Cell: 4.645 4.645 4.645 Å, 90.00 90.00 90.00°
Sites, in units of the cell vectors:
Y (0.000, 0.000, 0.000)
Si (0.000, 0.500, 0.500)
Si (0.500, 0.000, 0.500)
Si (0.500, 0.500, 0.000)
Ru (0.500, 0.500, 0.500)

Values from the calculation:
Total magnetic moment = 0.000 μB/atom
VASP energy = -6.310 eV per atom
DOS(E_F) = 3.94 states/eV/f.u.


No. 2
Computed, not measured: a relaxed structure of Li3BCl6 at the GGA-PBE level of DFT.

Cell: 7.927 6.428 10.435 Å, 90.00 113.05 90.00°
Sites, in units of the cell vectors:
Li (0.000, 0.000, 0.000)
Li (0.000, 0.500, 0.500)
Li (0.012, 0.035, 0.649)
Li (0.012, 0.465, 0.149)
Li (0.988, 0.535, 0.851)
Li (0.988, 0.965, 0.351)
B (0.500, 0.000, 0.500)
B (0.500, 0.500, 0.000)
Cl (0.158, 0.151, 0.248)
Cl (0.158, 0.349, 0.748)
Cl (0.190, 0.687, 0.066)
Cl (0.190, 0.813, 0.566)
Cl (0.494, 0.208, 0.588)
Cl (0.494, 0.292, 0.088)
Cl (0.506, 0.708, 0.912)
Cl (0.506, 0.792, 0.412)
Cl (0.810, 0.187, 0.434)
Cl (0.810, 0.313, 0.934)
Cl (0.842, 0.651, 0.252)
Cl (0.842, 0.849, 0.752)

Values from the calculation:
Total magnetic moment = 0.000 μB/atom
VASP energy = -3.562 eV per atom
DOS(E_F) = 0.00 states/eV/f.u.


No. 3
Computed, not measured: a relaxed structure of FeRe2Te at the GGA-PBE level of DFT.

Cell: 5.166 5.166 5.166 Å, 144.59 128.98 63.64°
Sites, in units of the cell vectors:
Fe (0.000, 0.000, 0.000)
Re (0.255, 0.755, 0.500)
Re (0.524, 0.524, 0.000)
Te (0.774, 0.274, 0.500)

Values from the calculation:
Total magnetic moment = 0.387 μB/atom
VASP energy = -8.448 eV per atom
DOS(E_F) = 4.02 states/eV/f.u.


No. 4
Computed, not measured: a relaxed structure of MgGaPCl2 at the GGA-PBE level of DFT.

Cell: 4.787 4.787 5.015 Å, 90.00 90.00 90.00°
Sites, in units of the cell vectors:
Mg (0.000, 0.000, 0.000)
Ga (0.500, 0.500, 0.500)
P (0.500, 0.500, 0.000)
Cl (0.000, 0.500, 0.500)
Cl (0.500, 0.000, 0.500)

Values from the calculation:
Total magnetic moment = 0.048 μB/atom
VASP energy = -2.951 eV per atom
DOS(E_F) = 3.59 states/eV/f.u.


No. 5
Computed, not measured: a relaxed structure of Tb5NdYTh2 at the GGA-PBE level of DFT.

Cell: 9.924 9.924 9.924 Å, 126.79 126.79 78.59°
Sites, in units of the cell vectors:
Tb (0.000, 0.000, 0.000)
Tb (0.072, 0.572, 0.918)
Tb (0.154, 0.072, 0.500)
Tb (0.346, 0.846, 0.918)
Tb (0.428, 0.346, 0.500)
Tb (0.500, 0.500, 0.000)
Tb (0.572, 0.654, 0.500)
Tb (0.654, 0.154, 0.082)
Tb (0.846, 0.928, 0.500)
Tb (0.928, 0.428, 0.082)
Nd (0.250, 0.250, 0.000)
Nd (0.750, 0.750, 0.000)
Y (0.250, 0.750, 0.500)
Y (0.750, 0.250, 0.500)
Th (0.119, 0.381, 0.500)
Th (0.381, 0.881, 0.262)
Th (0.619, 0.119, 0.738)
Th (0.881, 0.619, 0.500)

Values from the calculation:
Energy relative to the elements = 0.329 eV per atom
Total magnetic moment = 0.000 μB/atom
DOS(E_F) = 12.96 states/eV/f.u.


No. 6
Computed, not measured: a relaxed structure of MgCu2P at the GGA-PBE level of DFT.

Cell: 4.592 4.592 4.551 Å, 97.49 97.49 35.81°
Sites, in units of the cell vectors:
Mg (0.000, 0.000, 0.000)
Cu (0.249, 0.249, 0.746)
Cu (0.751, 0.751, 0.254)
P (0.500, 0.500, 0.500)

Values from the calculation:
Energy relative to the elements = 0.001 eV per atom
Total magnetic moment = 0.000 μB/atom
DOS(E_F) = 1.08 states/eV/f.u.